Cs3Ce2SmS6 | GGA-PBE | optimized geometry

Lattice parameters (Å, degrees): 7.360 12.749 8.431 90.00 106.92 90.00
Space group C2/m (No. 12)
One atom of each set of equivalent atoms:
Cs: 0.000 0.000 0.000 x2
Cs: 0.000 0.334 0.000 x4
Ce: 0.000 0.167 0.500 x4
Sm: 0.000 0.500 0.500 x2
S: 0.227 0.335 0.685 x8
S: 0.231 0.000 0.685 x4

* electronic total energy: -5.43 eV/atom
* volume: 31.5 A^3/atom